ZrHg2H (PBE, relaxed); density of states at the Fermi level = 2.65 states/eV/cell; ρ = 10.6 g cm⁻³; calculated total energy = -10.18 eV per cell
1.0
0.000 3.381 3.381
3.381 0.000 3.381
3.381 3.381 0.000
H Zr Hg
1 1 2
Direct
0.000 0.000 0.000 H
0.500 0.500 0.500 Zr
0.750 0.750 0.750 Hg
0.250 0.250 0.250 Hg